Entry 1:
DFT (GGA-PBE) results for La2ZrMo after structural relaxation.

Cell lengths 4.345, 4.345, 10.571 Å; angles 90.00, 90.00, 90.00 degrees
Space group I4/mmm (No. 139)
One atom of each set of equivalent atoms:
La: 0.000 0.500 0.250 [4 per cell]
Zr: 0.000 0.000 0.000 [2 per cell]
Mo: 0.000 0.000 0.500 [2 per cell]

Summary:
For the total energy, the calculation gives -6.836 eV per atom. As for the formation enthalpy at 0 K: 0.472 eV per atom. The energy above the most stable polymorph in this dataset is 6.34 kcal/mol of atoms. The calculation puts the density of states at the Fermi level at 8.95 states/eV per cell.


Entry 2:
DFT (GGA-PBE) results for MnOsPb2 after structural relaxation.

Cell lengths 3.376, 5.461, 9.143 Å; angles 90.00, 90.00, 90.00 degrees
Space group Cmmm (No. 65)
One atom of each set of equivalent atoms:
Mn: 0.000 0.000 0.000 [2 per cell]
Os: 0.000 0.000 0.500 [2 per cell]
Pb: 0.000 0.500 0.258 [4 per cell]

Summary:
For the total energy, the calculation gives -6.009 eV per atom. As for the formation enthalpy at 0 K: 0.945 eV per atom. The energy above the most stable polymorph in this dataset is 13.10 kcal/mol of atoms. The calculation puts the density of states at the Fermi level at 7.10 states/eV per cell.